1.
ZnGa3Cu6 after structural relaxation. Source: Alexandria via LeMat-Bulk, functional GGA-PBE.

a b c (Å): 7.0782 4.2566 9.3173
angles (deg): 90.00 109.83 90.00
Closest atoms and distances in Å follow each position.
Fractional positions:
Zn1 0.1085 0.2500 0.0700  8 Cu 2.58-2.70, 2 Zn 2.69, 2 Ga 2.70-2.73
Zn2 0.8915 0.7500 0.9300  8 Cu 2.58-2.70, 2 Zn 2.69, 2 Ga 2.70-2.73
Ga1 0.0856 0.7500 0.7251  8 Cu 2.58-2.76, 1 Zn 2.70, 3 Ga 2.77-2.80
Ga2 0.3069 0.7500 0.5266  11 Cu 2.59-2.74, 1 Ga 2.80
Ga3 0.3200 0.2500 0.8741  9 Cu 2.57-2.82, 1 Zn 2.73, 2 Ga 2.77
Ga4 0.6800 0.7500 0.1259  9 Cu 2.57-2.82, 1 Zn 2.73, 2 Ga 2.77
Ga5 0.6931 0.2500 0.4734  11 Cu 2.59-2.74, 1 Ga 2.80
Ga6 0.9144 0.2500 0.2749  8 Cu 2.58-2.76, 1 Zn 2.70, 3 Ga 2.77-2.80
Cu1 0.1042 0.7500 0.2320  3 Zn 2.62-2.70, 4 Ga 2.62-2.82, 5 Cu 2.62-2.73
Cu2 0.1046 0.2500 0.5699  7 Ga 2.60-2.74, 5 Cu 2.64-2.73
Cu3 0.2937 0.7500 0.0336  4 Ga 2.57-2.75, 3 Zn 2.58-2.68, 5 Cu 2.63-2.77
Cu4 0.3024 0.2500 0.3670  4 Ga 2.58-2.60, 7 Cu 2.62-2.71, 1 Zn 2.64
Cu5 0.4988 0.7500 0.3306  8 Cu 2.59-2.69, 4 Ga 2.62-2.64
Cu6 0.4998 0.2500 0.1716  5 Ga 2.59-2.76, 6 Cu 2.59-2.77, 1 Zn 2.61
Cu7 0.5002 0.7500 0.8284  5 Ga 2.59-2.76, 6 Cu 2.59-2.77, 1 Zn 2.61
Cu8 0.5012 0.2500 0.6694  8 Cu 2.59-2.69, 4 Ga 2.62-2.64
Cu9 0.6976 0.7500 0.6330  4 Ga 2.58-2.60, 7 Cu 2.62-2.71, 1 Zn 2.64
Cu10 0.7063 0.2500 0.9664  4 Ga 2.57-2.75, 3 Zn 2.58-2.68, 5 Cu 2.63-2.77
Cu11 0.8954 0.7500 0.4301  7 Ga 2.60-2.74, 5 Cu 2.64-2.73
Cu12 0.8958 0.2500 0.7680  3 Zn 2.62-2.70, 4 Ga 2.62-2.82, 5 Cu 2.62-2.73

Output
- Calculated formation energy: -85 meV per atom
- Magnetic moment: 0.0 Bohr magnetons per cell
- Crystal system: monoclinic

---

2.
DyZrNi2 after structural relaxation. Source: Alexandria via LeMat-Bulk, functional GGA-PBE.

a b c (Å): 5.1000 5.1000 5.1000
angles (deg): 51.55 51.55 51.55
Closest atoms and distances in Å follow each position.
Fractional positions:
Dy1 0.0000 0.0000 0.0000  8 Ni 2.83-3.01
Zr1 0.5000 0.5000 0.5000  6 Ni 2.64
Ni1 0.2137 0.2137 0.2137  3 Zr 2.64, 1 Dy 2.83, 3 Ni 2.85
Ni2 0.7863 0.7863 0.7863  3 Zr 2.64, 1 Dy 2.83, 3 Ni 2.85

Output
- Polymorph energy (0 for the lowest one): 93.7 meV/atom
- Calculated formation energy: -351 meV per atom
- Magnetic moment: 0.0 Bohr magnetons per cell
- Crystal system: trigonal

---

3.
Sm3Dy5Er2 after structural relaxation. Source: Alexandria via LeMat-Bulk, functional GGA-PBE.

a b c (Å): 11.0403 11.0403 11.0403
angles (deg): 108.63 80.99 146.84
Closest atoms and distances in Å follow each position.
Fractional positions:
Sm1 0.2475 0.1577 0.4052  4 Dy 3.48-3.68, 4 Er 3.50-3.67
Sm2 0.2500 0.2500 0.0000  2 Sm 3.15, 2 Dy 3.23, 4 Er 3.33
Sm3 0.2525 0.6577 0.9102  4 Dy 3.48-3.68, 4 Er 3.50-3.67
Sm4 0.7475 0.3423 0.0898  4 Dy 3.48-3.68, 4 Er 3.50-3.67
Sm5 0.7500 0.7500 0.0000  2 Sm 3.15, 2 Dy 3.23, 4 Er 3.33
Sm6 0.7525 0.8423 0.5948  4 Dy 3.48-3.68, 4 Er 3.50-3.67
Dy1 0.1564 0.4006 0.5570  1 Er 3.15, 2 Dy 3.32, 1 Sm 3.48
Dy2 0.2500 0.5010 0.2510  3 Dy 3.15-3.21, 1 Sm 3.23
Dy3 0.2500 0.7500 0.5000  8 Dy 3.15-3.32
Dy4 0.2500 0.9990 0.7490  3 Dy 3.15-3.21, 1 Sm 3.23
Dy5 0.3436 0.9006 0.2442  1 Er 3.15, 2 Dy 3.32, 1 Sm 3.48
Dy6 0.6564 0.0994 0.7558  1 Er 3.15, 2 Dy 3.32, 1 Sm 3.48
Dy7 0.7500 0.0010 0.2510  3 Dy 3.15-3.21, 1 Sm 3.23
Dy8 0.7500 0.2500 0.5000  8 Dy 3.15-3.32
Dy9 0.7500 0.4990 0.7490  3 Dy 3.15-3.21, 1 Sm 3.23
Dy10 0.8436 0.5994 0.4430  1 Er 3.15, 2 Dy 3.32, 1 Sm 3.48
Er1 0.1562 0.8986 0.0548  1 Dy 3.15, 3 Sm 3.33-3.50
Er2 0.3438 0.3986 0.7424  1 Dy 3.15, 3 Sm 3.33-3.50
Er3 0.6562 0.6014 0.2576  1 Dy 3.15, 3 Sm 3.33-3.50
Er4 0.8438 0.1014 0.9452  1 Dy 3.15, 3 Sm 3.33-3.50

Output
- Polymorph energy (0 for the lowest one): 150.0 meV/atom
- Calculated formation energy: 347 meV per atom
- Magnetic moment: 0.0 Bohr magnetons per cell
- Crystal system: orthorhombic

---

4.
Th3OsC3 after structural relaxation. Source: Alexandria via LeMat-Bulk, functional GGA-PBE.

a b c (Å): 6.9731 6.9731 5.3423
angles (deg): 90.00 90.00 100.01
Closest atoms and distances in Å follow each position.
Fractional positions:
Th1 0.1104 0.8896 0.7500  5 C 2.47-2.67
Th2 0.1686 0.4135 0.7500  5 C 2.61-2.74
Th3 0.4135 0.1686 0.2500  5 C 2.61-2.74
Th4 0.5865 0.8314 0.7500  5 C 2.61-2.74
Th5 0.8314 0.5865 0.2500  5 C 2.61-2.74
Th6 0.8896 0.1104 0.2500  5 C 2.47-2.67
Os1 0.3063 0.6937 0.2500  3 C 1.98-2.02
Os2 0.6937 0.3063 0.7500  3 C 1.98-2.02
C1 0.1208 0.8792 0.2500  1 Os 1.98
C2 0.1572 0.4173 0.2500  1 Os 2.02
C3 0.4173 0.1572 0.7500  1 Os 2.02
C4 0.5827 0.8428 0.2500  1 Os 2.02
C5 0.8428 0.5827 0.7500  1 Os 2.02
C6 0.8792 0.1208 0.7500  1 Os 1.98

Output
- Calculated formation energy: -292 meV per atom
- Magnetic moment: 0.0 Bohr magnetons per cell
- Crystal system: orthorhombic

---

5.
Rb3Pu2NpSe6 after structural relaxation. Source: Alexandria via LeMat-Bulk, functional GGA-PBE.

a b c (Å): 7.4628 7.4628 8.3386
angles (deg): 98.58 98.58 120.00
Closest atoms and distances in Å follow each position.
Fractional positions:
Rb1 0.0000 0.0000 0.0000  6 Se 3.47-3.50
Rb2 0.3325 0.6675 0.0000  6 Se 3.47-3.49
Rb3 0.6675 0.3325 0.0000  6 Se 3.47-3.49
Pu1 0.1666 0.8334 0.5000  6 Se 2.94
Pu2 0.8334 0.1666 0.5000  6 Se 2.94
Np1 0.5000 0.5000 0.5000  6 Se 2.91
Se1 0.1055 0.4352 0.3054  1 Np 2.91, 2 Pu 2.94
Se2 0.2353 0.2353 0.6948  1 Np 2.91, 2 Pu 2.94
Se3 0.4352 0.1055 0.3054  1 Np 2.91, 2 Pu 2.94
Se4 0.5648 0.8945 0.6946  1 Np 2.91, 2 Pu 2.94
Se5 0.7647 0.7647 0.3052  1 Np 2.91, 2 Pu 2.94
Se6 0.8945 0.5648 0.6946  1 Np 2.91, 2 Pu 2.94

Output
- Electronic total energy: -82.09 eV/cell
- Magnetic moment: 14.0 Bohr magnetons per cell
- Crystal system: monoclinic

---

6.
TlAgI4 after structural relaxation. Source: Alexandria via LeMat-Bulk, functional GGA-PBE.

a b c (Å): 7.4278 4.4515 7.5364
angles (deg): 90.00 105.63 90.00
Closest atoms and distances in Å follow each position.
Fractional positions:
Tl1 0.0000 0.0000 0.0000  6 I 2.92-3.15
Ag1 0.5000 0.5000 0.0000  6 I 2.99-3.10
I1 0.2461 0.5000 0.2479  1 Ag 2.99, 2 Tl 3.15
I2 0.2563 0.0000 0.7658  1 Tl 2.92, 2 Ag 3.10
I3 0.7437 0.0000 0.2342  1 Tl 2.92, 2 Ag 3.10
I4 0.7539 0.5000 0.7521  1 Ag 2.99, 2 Tl 3.15

Output
- Polymorph energy (0 for the lowest one): 0.0 meV/atom
- Magnetic moment: 0.0 Bohr magnetons per cell
- Crystal system: monoclinic